26
Lattice="-0.935 -6.761 -3.505 5.027 -5.631 1.689 -1.802 -0.624 6.825" Properties=species:S:1:pos:R:3 comment="LiFeSi3O8 (PBE+U, optimized geometry)" sg="No. 2" de_polymorph_kcal_per_mol_atoms=0.000 dft_energy_ry_per_atom=-0.5398 pbc="T T T"
Fe 2.448 -7.927 4.051
Fe -0.158 -5.089 0.959
O -0.150 -8.563 1.027
O -0.906 -2.144 6.442
O -1.413 -5.818 2.230
O 2.440 -4.453 3.983
O 3.703 -7.198 2.779
O 2.260 -8.720 -0.121
O 1.031 -6.647 4.350
O 0.571 -3.464 1.537
O 0.030 -4.296 5.131
O 3.328 -8.268 5.634
O 1.259 -6.369 0.659
O -1.038 -4.748 -0.625
O 3.196 -10.872 -1.433
O 2.084 -5.369 6.473
O 0.206 -7.647 -1.464
O 1.719 -9.552 3.472
Si 1.389 -5.185 4.981
Si 0.901 -7.831 0.029
Si -0.471 -2.744 4.964
Si 2.761 -10.272 0.045
Si 2.021 -11.073 3.921
Si 0.269 -1.943 1.088
Li -0.781 -7.105 3.665
Li 3.071 -5.911 1.344